The following is a DFT calculation (GGA-PBE) of an optimized crystal structure of Sr2Te2Se.

a = 8.385 Å, b = 8.385 Å, c = 5.000 Å
α = 90.00°, β = 90.00°, γ = 90.00°
Element x y z (fractional)
1 Sr 0.318 0.818 0.000
2 Sr 0.682 0.182 0.000
3 Sr 0.818 0.682 0.000
4 Sr 0.182 0.318 0.000
5 Te 0.881 0.381 0.500
6 Te 0.381 0.119 0.500
7 Te 0.119 0.619 0.500
8 Te 0.619 0.881 0.500
9 Se 0.500 0.500 0.000
10 Se 0.000 0.000 0.000

Summary:
VASP energy (eV/atom): -3.82
Magnetization (μB per formula unit): 0.00


The following is a DFT calculation (GGA-PBE) of an optimized crystal structure of Sr2TeSe.

a = 7.329 Å, b = 7.329 Å, c = 8.670 Å
α = 65.00°, β = 65.00°, γ = 90.00°
Element x y z (fractional)
1 Sr 0.150 0.625 0.250
2 Sr 0.375 0.400 0.750
3 Sr 0.875 0.850 0.750
4 Sr 0.600 0.125 0.250
5 Se 0.250 0.750 0.500
6 Se 0.500 0.500 0.000
7 Te 0.000 0.000 0.000
8 Te 0.750 0.250 0.500

Summary:
Polymorph energy (0 for the lowest one) (meV/atom): 260.6
Magnetization (μB per formula unit): 0.00


The following is a DFT calculation (GGA-PBE) of an optimized crystal structure of Sr2TeSe.

a = 7.010 Å, b = 7.010 Å, c = 4.773 Å
α = 90.01°, β = 90.01°, γ = 36.04°
Element x y z (fractional)
1 Te 0.489 0.489 0.625
2 Sr 0.751 0.751 0.625
3 Sr 0.017 0.017 0.125
4 Se 0.242 0.242 0.125

Summary:
Polymorph energy (0 for the lowest one) (meV/atom): 157.7
Magnetization (μB per formula unit): 0.00


The following is a DFT calculation (GGA-PBE) of an optimized crystal structure of Sr4TeSe3.

a = 7.842 Å, b = 7.850 Å, c = 9.069 Å
α = 90.00°, β = 90.00°, γ = 109.50°
Element x y z (fractional)
1 Sr 0.998 0.263 0.132
2 Sr 0.493 0.748 0.618
3 Sr 0.502 0.737 0.132
4 Sr 0.498 0.263 0.868
5 Sr 0.993 0.748 0.382
6 Sr 0.007 0.252 0.618
7 Sr 0.507 0.252 0.382
8 Sr 0.002 0.737 0.868
9 Se 0.750 0.000 0.377
10 Se 0.750 0.500 0.623
11 Se 0.250 0.000 0.623
12 Se 0.750 0.500 0.127
13 Se 0.250 0.500 0.873
14 Se 0.250 0.500 0.377
15 Te 0.750 0.000 0.875
16 Te 0.250 0.000 0.125

Summary:
VASP energy (eV/atom): -4.52
Magnetization (μB per formula unit): 0.00


The following is a DFT calculation (GGA-PBE) of an optimized crystal structure of SrTe4Se.

a = 6.405 Å, b = 6.405 Å, c = 6.405 Å
α = 60.00°, β = 60.00°, γ = 60.00°
Site moments in Bohr magnetons follow the coordinates.
Element x y z (fractional)
1 Sr 0.000 0.000 0.000  0.00
2 Te 0.376 0.873 0.376  0.09
3 Te 0.873 0.376 0.376  0.09
4 Te 0.376 0.376 0.376  0.09
5 Te 0.376 0.376 0.873  0.09
6 Se 0.750 0.750 0.750  0.49

Summary:
VASP energy (eV/atom): -3.12
Magnetization (μB per formula unit): 1.42


The following is a DFT calculation (GGA-PBE) of an optimized crystal structure of Sr3TeSe4.

a = 6.107 Å, b = 9.380 Å, c = 10.372 Å
α = 90.00°, β = 90.00°, γ = 90.00°
Element x y z (fractional)
1 Sr 0.068 0.106 0.500
2 Sr 0.563 0.345 0.717
3 Sr 0.063 0.655 0.783
4 Sr 0.568 0.894 0.000
5 Sr 0.063 0.655 0.217
6 Sr 0.563 0.345 0.283
7 Se 0.062 0.331 0.726
8 Se 0.562 0.669 0.226
9 Se 0.108 0.765 0.500
10 Se 0.567 0.135 0.500
11 Se 0.562 0.669 0.774
12 Se 0.062 0.331 0.274
13 Se 0.608 0.235 0.000
14 Se 0.067 0.865 0.000
15 Te 0.024 0.314 0.000
16 Te 0.524 0.686 0.500

Summary:
VASP energy (eV/atom): -4.16
Magnetization (μB per formula unit): 0.00


The following is a DFT calculation (GGA-PBE) of an optimized crystal structure of Sr2TeSe.

a = 5.587 Å, b = 5.615 Å, c = 3.970 Å
α = 90.00°, β = 90.00°, γ = 90.00°
Element x y z (fractional)
1 Sr 0.500 0.500 0.000
2 Sr 0.000 0.000 0.000
3 Se 0.000 0.500 0.500
4 Te 0.500 0.000 0.500

Summary:
Polymorph energy (0 for the lowest one) (meV/atom): 274.3
Magnetization (μB per formula unit): 0.00


The following is a DFT calculation (GGA-PBE) of an optimized crystal structure of Sr2TeSe.

a = 8.340 Å, b = 8.340 Å, c = 8.340 Å
α = 150.99°, β = 150.45°, γ = 41.89°
Element x y z (fractional)
1 Te 0.456 0.456 0.000
2 Sr 0.787 0.287 0.500
3 Sr 0.050 0.050 0.000
4 Se 0.207 0.707 0.500

Summary:
Polymorph energy (0 for the lowest one) (meV/atom): 173.1
Magnetization (μB per formula unit): 0.00